[1]
Here is ScAlIr after structural relaxation from Alexandria. Energies are from PBE.

Geometry as POSCAR:
```
ScAlIr
1.0
-2.5944 2.7713 3.4991
2.5944 -2.7713 3.4991
2.5944 2.7713 -3.4991
Sc Al Ir
2 2 2
direct
0.3833 0.1333 0.2500
0.6167 0.8667 0.7500
0.0000 0.0000 0.5000
0.0000 0.5000 0.0000
0.0000 0.5000 0.5000
0.5000 0.5000 0.0000
```

Results
* VASP energy: -43.3 eV per cell


[2]
Here is Sc8Al2Ir after structural relaxation from Alexandria. Energies are from PBE.

Geometry as POSCAR:
```
Sc8Al2Ir
1.0
8.0390 -2.4649 0.0000
8.0390 2.4649 0.0000
-2.6203 0.0000 5.9719
Sc Al Ir
8 2 1
direct
0.0012 0.0012 0.2525
0.1870 0.1870 0.6934
0.3650 0.3650 0.6254
0.3693 0.3693 0.1005
0.6307 0.6307 0.8995
0.6350 0.6350 0.3746
0.8130 0.8130 0.3066
0.9988 0.9988 0.7475
0.1864 0.1864 0.1862
0.8136 0.8136 0.8138
0.5000 0.5000 0.5000
```

Results
* VASP energy: -71.2 eV per cell


[3]
Here is ScAlIr after structural relaxation from Alexandria. Energies are from PBE.

Geometry as POSCAR:
```
ScAlIr
1.0
-1.5099 1.8055 4.6087
1.5099 -1.8055 4.6087
1.5099 1.8055 -4.6087
Sc Al Ir
1 1 1
direct
0.0000 0.0000 0.0000
0.6964 0.6964 0.0000
0.3245 0.3245 0.0000
```

Results
* VASP energy: -21.2 eV per cell


[4]
Here is ScAlIr after structural relaxation from Alexandria. Energies are from PBE.

Geometry as POSCAR:
```
ScAlIr
1.0
4.3662 0.0000 0.0000
-2.1831 3.7813 0.0000
0.0000 0.0000 3.1031
Sc Al Ir
1 1 1
direct
0.0000 0.0000 0.0000
0.3333 0.6667 0.5000
0.6667 0.3333 0.5000
```

Results
* VASP energy: -21.4 eV per cell


[5]
Here is ScAlIr3 after structural relaxation from Alexandria. Energies are from PBE.

Geometry as POSCAR:
```
ScAlIr3
1.0
4.4608 0.0000 0.0000
0.0000 4.4608 0.0000
0.0000 0.0000 4.4608
Sc Al Ir
1 1 3
direct
0.0000 0.0000 0.0000
0.5000 0.5000 0.5000
0.0000 0.5000 0.5000
0.5000 0.0000 0.5000
0.5000 0.5000 0.0000
```

Results
* ΔE to the lowest computed polymorph: 0 meV/atom


[6]
Here is ScAl6Ir after structural relaxation from Alexandria. Energies are from PBE.

Geometry as POSCAR:
```
ScAl6Ir
1.0
4.2138 0.0000 0.0000
0.0000 3.5102 4.4233
0.0000 -3.5102 4.4233
Sc Al Ir
1 6 1
direct
0.0000 0.0000 0.0000
0.0000 0.0684 0.4882
0.0000 0.4882 0.0684
0.5000 0.2081 0.2081
0.5000 0.2967 0.6882
0.5000 0.6882 0.2967
0.5000 0.7722 0.7722
0.0000 0.5988 0.5988
```

Results
* VASP energy: -40.9 eV per cell


What is the formula in the second record? Sc8Al2Ir